DFT (PBE) results for crystalline Be3TlRh at its relaxed geometry.

Geometry as CIF:
```
data_Be3TlRh
_chemical_formula_sum 'Be3 Tl1 Rh1'
_symmetry_space_group_name_H-M 'P m -3 m'
_symmetry_Int_Tables_number 221
_symmetry_space_group_name_Hall '-P 4 2 3'
_cell_length_a 4.392
_cell_length_b 4.392
_cell_length_c 4.392
_cell_angle_alpha 90.00
_cell_angle_beta 90.00
_cell_angle_gamma 90.00
loop_
_atom_site_label
_atom_site_fract_x
_atom_site_fract_y
_atom_site_fract_z
_atom_site_occupancy
Be1 0.000 0.000 0.500 1
Tl1 0.000 0.000 0.000 1
Rh1 0.500 0.500 0.500 1
```

Values from the calculation:
Crystal system: cubic
D(E_F): 3.5 states/eV/f.u.
Relative energy among the computed polymorphs: 1076.8 meV per atom
Total DFT energy (no corrections): -2.780 eV per atom
ΔE_f: 1.399 eV per atom
Density: 6.55 g/cm³